# Ba3La2Br12, relaxed, DFT GGA-PBE
data_Ba3La2Br12
_chemical_formula_sum 'Ba6 La4 Br24'
_cell_length_a 12.359
_cell_length_b 12.359
_cell_length_c 7.572
_cell_angle_alpha 90.00
_cell_angle_beta 90.00
_cell_angle_gamma 90.00
_space_group_name_H-M_alt 'P 4/m b m'
_space_group_IT_number 127
_space_group_name_Hall '-P 4 2ab'
loop_
_atom_site_label
_atom_site_type_symbol
_atom_site_fract_x
_atom_site_fract_y
_atom_site_fract_z
_atom_site_occupancy
Ba1 Ba 0.000 0.000 0.000 1
Ba2 Ba 0.183 0.317 0.500 1
La1 La 0.136 0.636 0.000 1
Br1 Br 0.000 0.500 0.258 1
Br2 Br 0.062 0.794 0.271 1
Br3 Br 0.188 0.312 0.000 1
# - N(E_F): 0.00 states/eV/f.u.
# - Crystal system: tetragonal
# - E: -4.17 eV/atom
# - Uncorrected formation energy: -2.066 eV/atom


# BaZr2W, relaxed, DFT GGA-PBE
data_BaZr2W
_chemical_formula_sum 'Ba2 Zr4 W2'
_cell_length_a 9.748
_cell_length_b 3.319
_cell_length_c 7.126
_cell_angle_alpha 90.00
_cell_angle_beta 93.02
_cell_angle_gamma 90.00
_space_group_name_H-M_alt 'C 1 m 1'
_space_group_IT_number 8
loop_
_space_group_symop_operation_xyz
'x,y,z'
'x,-y,z'
'x+1/2,y+1/2,z'
'x+1/2,-y+1/2,z'
loop_
_atom_site_label
_atom_site_type_symbol
_atom_site_fract_x
_atom_site_fract_y
_atom_site_fract_z
_atom_site_occupancy
Ba1 Ba 0.000 0.000 0.000 1
Zr1 Zr 0.234 0.000 0.638 1
Zr2 Zr 0.490 0.000 0.457 1
W1 W 0.254 0.500 0.333 1
# - N(E_F): 5.14 states/eV/f.u.
# - ΔE to the lowest computed polymorph: 378.9 meV per atom
# - Crystal system: monoclinic
# - E: -7.27 eV/atom
# - Formation enthalpy at 0 K: 2.881 eV/f.u.


# Pu2MgZn, relaxed, DFT GGA-PBE
data_Pu2MgZn
_chemical_formula_sum 'Pu2 Mg1 Zn1'
_cell_length_a 3.917
_cell_length_b 3.917
_cell_length_c 6.282
_cell_angle_alpha 90.00
_cell_angle_beta 90.00
_cell_angle_gamma 90.00
_space_group_name_H-M_alt 'P 4/m m m'
_space_group_IT_number 123
_space_group_name_Hall '-P 4 2'
loop_
_atom_site_label
_atom_site_type_symbol
_atom_site_fract_x
_atom_site_fract_y
_atom_site_fract_z
_atom_site_occupancy
Pu1 Pu 0.000 0.000 0.234 1
Mg1 Mg 0.500 0.500 0.500 1
Zn1 Zn 0.500 0.500 0.000 1
# - N(E_F): 12.20 states/eV/f.u.
# - ΔE to the lowest computed polymorph: 0.0 meV per atom
# - Crystal system: tetragonal
# - E: -7.77 eV/atom
# - Formation enthalpy at 0 K: 0.460 eV/f.u.


# NbAuIN2, relaxed, DFT GGA-PBE
data_NbAuIN2
_chemical_formula_sum 'Nb1 Au1 I1 N2'
_cell_length_a 4.049
_cell_length_b 4.049
_cell_length_c 6.126
_cell_angle_alpha 90.00
_cell_angle_beta 90.00
_cell_angle_gamma 90.00
_space_group_name_H-M_alt 'P 4/m m m'
_space_group_IT_number 123
_space_group_name_Hall '-P 4 2'
loop_
_atom_site_label
_atom_site_type_symbol
_atom_site_fract_x
_atom_site_fract_y
_atom_site_fract_z
_atom_site_occupancy
Nb1 Nb 0.000 0.000 0.000 1
Au1 Au 0.500 0.500 0.500 1
I1 I 0.000 0.000 0.500 1
N1 N 0.000 0.500 0.000 1
# - N(E_F): 1.51 states/eV/f.u.
# - ΔE to the lowest computed polymorph: 0.0 meV per atom
# - Crystal system: tetragonal
# - E: -5.79 eV/atom
# - Uncorrected formation energy: 0.521 eV/atom